Record 1
Computed, not measured: a relaxed CePrCu2Si2 crystal at the GGA-PBE level of DFT.

D(E_F) ... 1.059 states/eV per atom
Space-group type ... P-3m1 (164)
E_form (uncorrected) ... -0.58 eV per atom

Cell: 4.176 4.176 8.062 Å, 90.00 90.00 120.00°
Element x y z (fractional)
Ce: 0.000 0.000 0.000
Pr: 0.000 0.000 0.500
Cu: 0.333 0.667 0.243
Cu: 0.667 0.333 0.757
Si: 0.333 0.667 0.759
Si: 0.667 0.333 0.241

=====

Record 2
Computed, not measured: a relaxed DyTiBr2 crystal at the GGA-PBE level of DFT.

D(E_F) ... 0.880 states/eV per atom
Space-group type ... R-3m (166)
E_form (uncorrected) ... -0.55 eV per atom

Cell: 3.470 3.470 28.462 Å, 90.00 90.00 120.00°
Element x y z (fractional)
Dy: 0.000 0.000 0.000
Dy: 0.333 0.667 0.667
Dy: 0.667 0.333 0.333
Ti: 0.000 0.000 0.500
Ti: 0.333 0.667 0.167
Ti: 0.667 0.333 0.833
Br: 0.000 0.000 0.105
Br: 0.000 0.000 0.895
Br: 0.333 0.667 0.562
Br: 0.333 0.667 0.771
Br: 0.667 0.333 0.229
Br: 0.667 0.333 0.438

=====

Record 3
Computed, not measured: a relaxed LaDyNi4 crystal at the GGA-PBE level of DFT.

D(E_F) ... 0.748 states/eV per atom
VASP energy ... -0.4276 Ry per atom
Space-group type ... F-43m (216)

Cell: 5.140 5.140 5.140 Å, 60.00 60.00 60.00°
Element x y z (fractional)
La: 0.000 0.000 0.000
Dy: 0.250 0.250 0.250
Ni: 0.128 0.624 0.624
Ni: 0.624 0.128 0.624
Ni: 0.624 0.624 0.128
Ni: 0.624 0.624 0.624

=====

Record 4
Computed, not measured: a relaxed ScCrRu crystal at the GGA-PBE level of DFT.

D(E_F) ... 1.351 states/eV per atom
VASP energy ... -0.5567 Ry per atom
Space-group type ... F-43m (216)

Cell: 6.121 6.121 6.121 Å, 90.00 90.00 90.00°
Element x y z (fractional)
Sc: 0.000 0.000 0.000
Sc: 0.000 0.500 0.500
Sc: 0.500 0.000 0.500
Sc: 0.500 0.500 0.000
Cr: 0.250 0.250 0.750
Cr: 0.250 0.750 0.250
Cr: 0.750 0.250 0.250
Cr: 0.750 0.750 0.750
Ru: 0.250 0.250 0.250
Ru: 0.250 0.750 0.750
Ru: 0.750 0.250 0.750
Ru: 0.750 0.750 0.250

=====

Record 5
Computed, not measured: a relaxed BaTc4Ni crystal at the GGA-PBE level of DFT.

D(E_F) ... 1.743 states/eV per atom
VASP energy ... -0.5332 Ry per atom
Space-group type ... F-43m (216)

Cell: 5.359 5.359 5.359 Å, 60.00 60.00 60.00°
Element x y z (fractional)
Ba: 0.000 0.000 0.000
Tc: 0.376 0.376 0.376
Tc: 0.376 0.376 0.871
Tc: 0.376 0.871 0.376
Tc: 0.871 0.376 0.376
Ni: 0.750 0.750 0.750

=====

Record 6
Computed, not measured: a relaxed Cs3BiBr6 crystal at the GGA-PBE level of DFT.

D(E_F) ... 0.000 states/eV per atom
Space-group type ... P2_1/c (14)
E_form (uncorrected) ... -1.42 eV per atom

Cell: 8.504 9.018 14.840 Å, 90.00 124.64 90.00°
Element x y z (fractional)
Cs: 0.000 0.000 0.000
Cs: 0.000 0.500 0.500
Cs: 0.277 0.073 0.750
Cs: 0.277 0.427 0.250
Cs: 0.723 0.573 0.750
Cs: 0.723 0.927 0.250
Bi: 0.500 0.000 0.500
Bi: 0.500 0.500 0.000
Br: 0.165 0.044 0.280
Br: 0.165 0.456 0.780
Br: 0.280 0.675 0.054
Br: 0.280 0.825 0.554
Br: 0.403 0.232 0.067
Br: 0.403 0.268 0.567
Br: 0.597 0.732 0.433
Br: 0.597 0.768 0.933
Br: 0.720 0.175 0.446
Br: 0.720 0.325 0.946
Br: 0.835 0.544 0.220
Br: 0.835 0.956 0.720

=====

no.,calculated volume (Å³/atom)
1,20.3
2,24.7
3,16.0
4,19.1
5,18.1
6,46.8